No. 1
A relaxed structure of RbLiSn2Cl6. Source: the Alexandria database, functional PBE.

The structure belongs to space group P1 (No. 1); the cell edges are 7.2086, 7.2254 and 8.1717 Å and the angles 89.95°, 63.86° and 60.16°. The inequivalent atoms are Rb at (0.0000, 0.0000, 0.0000), Li at (0.9208, 0.5421, 0.6134), Sn at (0.5540, 0.7228, 0.1712), Sn at (0.5977, 0.2023, 0.6033), Cl at (0.1173, 0.5274, 0.8079), Cl at (0.1239, 0.7657, 0.3571), Cl at (0.4128, 0.1084, 0.3539), Cl at (0.5465, 0.9270, 0.8111), Cl at (0.7181, 0.3573, 0.8095) and Cl at (0.7568, 0.4809, 0.3577).

Its uncorrected formation energy is -1.34 eV/atom. As for the volume: 31.811 A^3/atom. For the size of the total moment, the calculation gives 0.00 μB per formula unit. The total energy comes out at -0.25971 Ry/atom.

***

No. 2
A relaxed structure of Zr3TiGa2. Source: the Alexandria database, functional PBE.

The structure belongs to space group Cmmm (No. 65); the cell edges are 4.3488, 13.9997 and 3.8110 Å and the angles 90.00°, 90.00° and 90.00°. The inequivalent atoms are Zr at (0.0000, 0.0000, 0.0000), Zr at (0.0000, 0.3271, 0.0000), Ti at (0.0000, 0.5000, 0.5000) and Ga at (0.0000, 0.1535, 0.5000).

As for the volume: 19.335 A^3/atom. For the size of the total moment, the calculation gives 1.01 μB per formula unit. The total energy comes out at -0.51335 Ry/atom. The value obtained for the formation enthalpy at 0 K is -0.3857 eV/atom.

***

No. 3
A relaxed structure of Zr2ScPt. Source: the Alexandria database, functional PBE.

The structure belongs to space group C2/m (No. 12); the cell edges are 5.6665, 9.7185 and 3.0674 Å and the angles 90.00°, 108.50° and 90.00°. The inequivalent atoms are Zr at (0.2500, 0.2500, 0.0000), Sc at (0.0000, 0.0000, 0.5000) and Pt at (0.0000, 0.5000, 0.5000).

As for the volume: 20.023 A^3/atom. For the size of the total moment, the calculation gives 0.00 μB per formula unit. The total energy comes out at -0.56804 Ry/atom. The value obtained for the formation enthalpy at 0 K is -0.3614 eV/atom.

***

No. 4
A relaxed structure of BeTlP2S. Source: the Alexandria database, functional PBE.

The structure belongs to space group P4/mmm (No. 123); the cell edges are 4.2591, 4.2591 and 5.1584 Å and the angles 90.00°, 90.00° and 90.00°. The inequivalent atoms are Be at (0.0000, 0.0000, 0.0000), Tl at (0.5000, 0.5000, 0.5000), P at (0.0000, 0.5000, 0.0000) and S at (0.0000, 0.0000, 0.5000).

Its uncorrected formation energy is 0.53 eV/atom. As for the volume: 18.715 A^3/atom. For the size of the total moment, the calculation gives 0.00 μB per formula unit. The total energy comes out at -0.27044 Ry/atom.

***

No. 5
A relaxed structure of Ac2TbN. Source: the Alexandria database, functional PBE.

The structure belongs to space group R-3m (No. 166, hexagonal axes); the cell edges are 3.7494, 3.7494 and 30.8596 Å and the angles 90.00°, 90.00° and 120.00°. The inequivalent atoms are Ac at (0.0000, 0.0000, 0.1175), Tb at (0.0000, 0.0000, 0.0000) and N at (0.0000, 0.0000, 0.5000).

Its uncorrected formation energy is -0.32 eV/atom. As for the volume: 31.308 A^3/atom. For the size of the total moment, the calculation gives 0.00 μB per formula unit. The total energy comes out at -0.41257 Ry/atom.

***

No. 6
A relaxed structure of Pr6P3Se2Cl. Source: the Alexandria database, functional PBE.

The structure belongs to space group C2/m (No. 12); the cell edges are 18.5886, 4.1903 and 8.5560 Å and the angles 90.00°, 105.06° and 90.00°. The inequivalent atoms are Pr at (0.0052, 0.0000, 0.2284), Pr at (0.1633, 0.5000, 0.0941), Pr at (0.1750, 0.5000, 0.5733), P at (0.0000, 0.5000, 0.0000), P at (0.1658, 0.0000, 0.3335), Se at (0.1642, 0.0000, 0.8284) and Cl at (0.0000, 0.5000, 0.5000).

Its uncorrected formation energy is -1.73 eV/atom. As for the volume: 26.815 A^3/atom. For the size of the total moment, the calculation gives 0.00 μB per formula unit. The total energy comes out at -0.45598 Ry/atom.

***

No. 7
A relaxed structure of Na4Hg. Source: the Alexandria database, functional PBE.

The structure belongs to space group C2/m (No. 12); the cell edges are 13.0147, 3.7234 and 9.1874 Å and the angles 90.00°, 134.21° and 90.00°. The inequivalent atoms are Na at (0.0800, 0.0000, 0.3542), Na at (0.2283, 0.5000, 0.8098) and Hg at (0.0000, 0.5000, 0.0000).

As for the volume: 31.914 A^3/atom. For the size of the total moment, the calculation gives 0.00 μB per formula unit. The total energy comes out at -0.08990 Ry/atom. The value obtained for the formation enthalpy at 0 K is -0.1076 eV/atom.

***

No. 8
A relaxed structure of SrNd4Ag4. Source: the Alexandria database, functional PBE.

The structure belongs to space group P4_2/n (No. 86, origin choice 2); the cell edges are 10.0743, 10.0743 and 5.9592 Å and the angles 90.00°, 90.00° and 90.00°. The inequivalent atoms are Sr at (0.2500, 0.2500, 0.2500), Nd at (0.1025, 0.6540, 0.1529) and Ag at (0.0353, 0.6013, 0.6514).

As for the volume: 33.600 A^3/atom. For the size of the total moment, the calculation gives 0.00 μB per formula unit. The total energy comes out at -0.26802 Ry/atom. The value obtained for the formation enthalpy at 0 K is -0.0735 eV/atom.

***

No. 9
A relaxed structure of CsHSe2Br. Source: the Alexandria database, functional PBE.

The structure belongs to space group P4/mmm (No. 123); the cell edges are 7.5786, 7.5786 and 6.8428 Å and the angles 90.00°, 90.00° and 90.00°. The inequivalent atoms are Cs at (0.0000, 0.0000, 0.0000), H at (0.5000, 0.5000, 0.5000), Se at (0.0000, 0.5000, 0.0000) and Br at (0.0000, 0.0000, 0.5000).

As for the volume: 78.603 A^3/atom. For the size of the total moment, the calculation gives 5.06 μB per formula unit. The total energy comes out at -0.12762 Ry/atom.

***

No. 10
A relaxed structure of Cu2ReHO. Source: the Alexandria database, functional PBE.

The structure belongs to space group P4/mmm (No. 123); the cell edges are 3.9664, 3.9664 and 3.9199 Å and the angles 90.00°, 90.00° and 90.00°. The inequivalent atoms are Cu at (0.0000, 0.5000, 0.0000), Re at (0.0000, 0.0000, 0.5000), H at (0.5000, 0.5000, 0.5000) and O at (0.0000, 0.0000, 0.0000).

As for the volume: 12.334 A^3/atom. For the size of the total moment, the calculation gives 0.00 μB per formula unit. The total energy comes out at -0.35817 Ry/atom.

***

No. 11
A relaxed structure of NaH2I2. Source: the Alexandria database, functional PBE.

The structure belongs to space group Cmc2_1 (No. 36); the cell edges are 4.5273, 12.5839 and 9.2639 Å and the angles 90.00°, 90.00° and 90.00°. The inequivalent atoms are Na at (0.0000, 0.1806, 0.0000), H at (0.0000, 0.0226, 0.4592), H at (0.0000, 0.0226, 0.5407), I at (0.0000, 0.3700, 0.7433) and I at (0.0000, 0.3710, 0.2569).

As for the volume: 26.389 A^3/atom. For the size of the total moment, the calculation gives 0.00 μB per formula unit. The total energy comes out at -0.19334 Ry/atom.

***

No. 12
A relaxed structure of GdZrNiAu. Source: the Alexandria database, functional PBE.

The structure belongs to space group F-43m (No. 216); the cell edges are 6.8848, 6.8848 and 6.8848 Å and the angles 90.00°, 90.00° and 90.00°. The inequivalent atoms are Gd at (0.0000, 0.0000, 0.0000), Zr at (0.0000, 0.0000, 0.5000), Ni at (0.2500, 0.2500, 0.2500) and Au at (0.2500, 0.2500, 0.7500).

As for the volume: 20.397 A^3/atom. For the size of the total moment, the calculation gives 7.46 μB per formula unit. The total energy comes out at -0.60913 Ry/atom. The value obtained for the formation enthalpy at 0 K is -0.3658 eV/atom.